Material: CaPm6Dy5
Method: DFT, GGA-PBE
State: optimized geometry

Its formation enthalpy at 0 K is 0.034 eV/atom. The density of states at the Fermi level comes out at 14.917 states/eV/f.u. As for the total magnetization: 0.00 μB per cell.

It has space group C2/m (No. 12), with a = 11.939 Å, b = 10.894 Å, c = 6.272 Å, α = 90.00°, β = 100.18° and γ = 90.00°. The asymmetric unit holds Ca at (0.000, 0.000, 0.000), Pm at (0.246, 0.330, 0.748), Pm at (0.248, 0.500, 0.259), Dy at (0.000, 0.171, 0.500), Dy at (0.000, 0.339, 0.000) and Dy at (0.000, 0.500, 0.500).